# 1
Below is a geometry-optimized YThSi2Ni2 structure, with properties calculated at the PBE level.

Cell lengths 4.0390, 4.0390, 8.0208 Å; angles 90.00, 90.00, 120.00 degrees
Space group P-3m1 (No. 164)
One atom of each set of equivalent atoms:
Y 0.0000 0.0000 0.0000 [1 per cell]
Th 0.0000 0.0000 0.5000 [1 per cell]
Si 0.3333 0.6667 0.7571 [2 per cell]
Ni 0.3333 0.6667 0.2459 [2 per cell]

Results
- Magnetization: 0.00 Bohr magnetons per cell



# 2
Below is a geometry-optimized Th2ZnSi3Ni4 structure, with properties calculated at the PBE level.

Cell lengths 4.093, 4.093, 9.597 Å; angles 90.00, 90.00, 90.00 degrees
Space group P-4m2 (No. 115)
One atom of each set of equivalent atoms:
Th 0.000 0.500 0.244 [2 per cell]
Zn 0.000 0.000 0.500 [1 per cell]
Si 0.000 0.500 0.875 [2 per cell]
Si 0.500 0.500 0.500 [1 per cell]
Ni 0.000 0.000 0.000 [1 per cell]
Ni 0.000 0.500 0.632 [2 per cell]
Ni 0.500 0.500 0.000 [1 per cell]

Results
- Magnetization: 0.00 Bohr magnetons per cell



# 3
Below is a geometry-optimized Th2ZnSi3Ni12 structure, with properties calculated at the PBE level.

Cell lengths 8.4755, 8.4755, 12.0491 Å; angles 90.00, 90.00, 120.00 degrees
Space group R-3m (No. 166, hexagonal axes)
One atom of each set of equivalent atoms:
Th 0.0000 0.0000 0.1549 [6 per cell]
Zn 0.0000 0.0000 0.5000 [3 per cell]
Si 0.0000 0.5000 0.0000 [9 per cell]
Ni 0.0105 0.5053 0.1924 [18 per cell]
Ni 0.0138 0.5069 0.3901 [18 per cell]

Results
- Magnetization: 0.00 Bohr magnetons per cell



# 4
Below is a geometry-optimized Th2ZnSiNi6 structure, with properties calculated at the PBE level.

Cell lengths 5.8988, 5.8988, 32.1455 Å; angles 90.00, 90.00, 120.00 degrees
Space group R-3m (No. 166, hexagonal axes)
One atom of each set of equivalent atoms:
Th 0.0000 0.0000 0.1127 [6 per cell]
Th 0.0000 0.0000 0.2827 [6 per cell]
Zn 0.0000 0.0000 0.4239 [6 per cell]
Si 0.0000 0.0000 0.0000 [3 per cell]
Si 0.0000 0.0000 0.5000 [3 per cell]
Ni 0.0553 0.5276 0.3033 [18 per cell]
Ni 0.0663 0.5332 0.8629 [18 per cell]

Results
- Magnetization: 0.00 Bohr magnetons per cell



These records have energy relative to the elements, uncorrected values of -0.81 -0.76 -0.20 -0.40 eV/atom, in the order they appear.
These records have total DFT energy (no corrections) values of -6.861 -6.309 -5.850 -6.021 eV per atom, in the order they appear.